A plane-wave DFT calculation with GGA-PBE was carried out for a relaxed CdPW2 crystal.

Results
Its symmetry is Cmmm. The energy of formation from the pure elements comes out at 445 meV/atom. The calculation puts the density of states at the Fermi level at 0.719 states/eV/atom.

a = 2.894 Å, b = 2.894 Å, c = 8.445 Å
α = 90.00°, β = 90.00°, γ = 111.41°
Fractional positions:
1 Cd 0.000 0.000 0.000
2 P 0.000 0.000 0.500
3 W 0.500 0.500 0.293
4 W 0.500 0.500 0.707